(1)
Compound: Mg2NbRh3
Source: the Alexandria database
Functional: GGA-PBE
Structure: relaxed

```
6
Lattice="3.191 0.000 0.000 0.000 3.191 0.000 0.000 0.000 9.266" Properties=species:S:1:pos:R:3 pbc="T T T"
Mg 0.000 0.000 1.462
Mg 0.000 0.000 7.804
Nb 0.000 0.000 4.633
Rh 1.596 1.596 0.000
Rh 1.596 1.596 3.149
Rh 1.596 1.596 6.117
```

Results
Symmetry: P4/mmm
ΔH_f (0 K), eV/atom: -0.54

---

(2)
Compound: K2CdBi
Source: the Alexandria database
Functional: GGA-PBE
Structure: relaxed

```
4
Lattice="-2.967 5.387 2.986 2.967 -5.387 2.986 2.967 5.387 -2.986" Properties=species:S:1:pos:R:3 pbc="T T T"
K 0.000 1.963 0.000
K 0.000 8.811 0.000
Cd 0.000 5.387 1.127
Bi 2.967 0.000 1.117
```

Results
E above lowest polymorph, meV per atom: 7.2
Symmetry: Imm2
ΔH_f (0 K), eV/atom: -0.25

---

(3)
Compound: Hg2PCl
Source: the Alexandria database
Functional: GGA-PBE
Structure: relaxed

```
4
Lattice="3.427 0.000 0.000 0.000 3.427 0.000 0.000 0.000 7.483" Properties=species:S:1:pos:R:3 pbc="T T T"
Hg 0.000 0.000 1.668
Hg 0.000 0.000 5.815
P 1.714 1.714 0.000
Cl 1.714 1.714 3.742
```

Results
E above lowest polymorph, meV per atom: 548.0
Symmetry: P4/mmm
Energy relative to the elements, uncorrected, eV per formula unit: 1.167

---

(4)
Compound: Dy4HoTl2
Source: the Alexandria database
Functional: GGA-PBE
Structure: relaxed

```
7
Lattice="2.737 1.580 8.772 -2.737 1.580 8.772 0.000 -3.160 8.772" Properties=species:S:1:pos:R:3 pbc="T T T"
Dy 0.000 0.000 3.454
Dy 0.000 0.000 6.922
Dy 0.000 0.000 19.394
Dy 0.000 0.000 22.862
Ho 0.000 0.000 13.158
Tl 0.000 0.000 10.028
Tl 0.000 0.000 16.287
```

Results
E above lowest polymorph, meV per atom: 0.0
Symmetry: R-3m
ΔH_f (0 K), eV/atom: 0.07

---

(5)
Compound: CaVIr
Source: the Alexandria database
Functional: GGA-PBE
Structure: relaxed

```
6
Lattice="5.382 -2.091 0.000 5.382 2.091 0.000 -4.683 0.000 5.505" Properties=species:S:1:pos:R:3 pbc="T T T"
Ca -0.680 0.000 1.684
Ca 6.761 0.000 3.821
V -1.046 0.000 5.012
V 7.126 0.000 0.492
Ir 2.425 0.000 1.580
Ir 3.655 0.000 3.925
```

Results
E above lowest polymorph, meV per atom: 0.0
Symmetry: C2/m
ΔH_f (0 K), eV/atom: -0.23

---

(6)
Compound: ZrTcAgS2
Source: the Alexandria database
Functional: GGA-PBE
Structure: relaxed

```
5
Lattice="4.506 0.000 0.000 0.000 4.506 0.000 0.000 0.000 5.125" Properties=species:S:1:pos:R:3 pbc="T T T"
Zr 0.000 0.000 0.000
Tc 2.253 2.253 2.562
Ag 2.253 2.253 0.000
S 0.000 2.253 2.562
S 2.253 0.000 2.562
```

Results
Symmetry: P4/mmm
Energy relative to the elements, uncorrected, eV per formula unit: 1.960

---

What did we get for total magnetization? Answer: 0.0; 0.0; 0.0; 0.0; 0.0; 1.5 μB/f.u., in the order shown.